1.
16
Lattice="5.470 0.000 0.000 0.000 5.470 0.000 0.000 0.000 5.470" Properties=species:S:1:pos:R:3 comment="BeNiBIr (PBE, optimized geometry)" space_group="F-43m, No. 216" de_polymorph_mev_per_atom=0 density_g_cm3=11.0 pbc="T T T"
Be 0.000 0.000 0.000
Be 0.000 2.735 2.735
Be 2.735 0.000 2.735
Be 2.735 2.735 0.000
Ni 1.368 1.368 4.103
Ni 1.368 4.103 1.368
Ni 4.103 1.368 1.368
Ni 4.103 4.103 4.103
B 1.368 1.368 1.368
B 1.368 4.103 4.103
B 4.103 1.368 4.103
B 4.103 4.103 1.368
Ir 0.000 0.000 2.735
Ir 0.000 2.735 0.000
Ir 2.735 0.000 0.000
Ir 2.735 2.735 2.735

***

2.
36
Lattice="5.823 0.000 0.000 -2.912 5.043 0.000 0.000 0.000 34.773" Properties=species:S:1:pos:R:3 comment="GaAg17 (PBE, optimized geometry)" final_energy_ev_per_atom=-2.778 space_group="P-3m1, No. 164" density_g_cm3=6.2 pbc="T T T"
Ga 0.000 3.362 9.702
Ga 2.912 1.681 25.071
Ag 0.000 0.000 0.000
Ag 0.000 0.000 7.259
Ag 0.000 0.000 27.514
Ag -1.456 2.521 0.000
Ag -1.453 2.523 7.269
Ag 0.000 1.679 4.845
Ag 0.000 1.680 25.063
Ag 0.000 1.680 32.353
Ag -1.457 4.203 4.845
Ag -1.456 4.203 25.063
Ag -1.456 4.203 32.353
Ag 1.455 0.840 2.420
Ag 1.455 0.840 9.710
Ag 1.454 0.840 29.928
Ag 0.000 3.362 2.424
Ag 0.000 3.362 29.929
Ag 2.912 0.000 0.000
Ag 2.912 0.003 27.504
Ag 1.456 2.521 0.000
Ag 1.453 2.523 7.269
Ag 1.458 2.520 27.504
Ag 0.000 5.040 7.269
Ag 2.912 1.681 4.844
Ag 2.912 1.681 32.349
Ag 1.457 4.203 4.845
Ag 1.456 4.203 25.063
Ag 1.456 4.203 32.353
Ag 4.368 0.840 2.420
Ag 4.368 0.840 9.710
Ag 4.369 0.840 29.928
Ag 2.912 3.363 2.420
Ag 2.912 3.363 9.710
Ag 2.912 3.363 29.928
Ag 4.365 2.520 27.504

***

What is the formula in the second record?
GaAg17